(1)
An optimized crystal structure of Ba2Te3H4. Source: Alexandria, functional PBE.

Cell and atoms, written as CIF:
```
data_Ba2Te3H4
_chemical_formula_sum 'Ba4 Te6 H8'
_cell_length_a 13.491
_cell_length_b 4.431
_cell_length_c 8.728
_cell_angle_alpha 90.00
_cell_angle_beta 119.74
_cell_angle_gamma 90.00
_symmetry_space_group_name_H-M 'C 1 2/m 1'
_symmetry_Int_Tables_number 12
_symmetry_space_group_name_Hall '-C 2y'
loop_
_atom_site_label
_atom_site_type_symbol
_atom_site_fract_x
_atom_site_fract_y
_atom_site_fract_z
Ba1 Ba 0.197 0.000 0.264
Te1 Te 0.000 0.500 0.500
Te2 Te 0.091 0.000 0.782
H1 H 0.011 0.500 0.968
H2 H 0.233 0.500 0.408
```

## Properties
Calculated total energy, eV/atom: -3.49


(2)
An optimized crystal structure of SrOsRu. Source: Alexandria, functional PBE.

Cell and atoms, written as CIF:
```
data_SrOsRu
_chemical_formula_sum 'Sr4 Os4 Ru4'
_cell_length_a 10.402
_cell_length_b 4.385
_cell_length_c 7.560
_cell_angle_alpha 90.00
_cell_angle_beta 131.52
_cell_angle_gamma 90.00
_symmetry_space_group_name_H-M 'C 1 2/m 1'
_symmetry_Int_Tables_number 12
_symmetry_space_group_name_Hall '-C 2y'
loop_
_atom_site_label
_atom_site_type_symbol
_atom_site_fract_x
_atom_site_fract_y
_atom_site_fract_z
Sr1 Sr 0.073 0.000 0.336
Os1 Os 0.150 0.500 0.062
Ru1 Ru 0.190 0.500 0.780
```

## Properties
Offset from the most stable computed form, meV per atom: 33.1
ΔE_f, eV per formula unit: 0.867


(3)
An optimized crystal structure of BaPrRh4. Source: Alexandria, functional PBE.

Cell and atoms, written as CIF:
```
data_BaPrRh4
_chemical_formula_sum 'Ba4 Pr4 Rh16'
_cell_length_a 7.807
_cell_length_b 7.807
_cell_length_c 7.807
_cell_angle_alpha 90.00
_cell_angle_beta 90.00
_cell_angle_gamma 90.00
_symmetry_space_group_name_H-M 'F -4 3 m'
_symmetry_Int_Tables_number 216
_symmetry_space_group_name_Hall 'F -4 2 3'
loop_
_atom_site_label
_atom_site_type_symbol
_atom_site_fract_x
_atom_site_fract_y
_atom_site_fract_z
Ba1 Ba 0.000 0.000 0.000
Pr1 Pr 0.250 0.250 0.750
Rh1 Rh 0.125 0.125 0.375
```

## Properties
ΔE_f, eV per formula unit: -2.079


(4)
An optimized crystal structure of TbDy6HoTm2. Source: Alexandria, functional PBE.

Cell and atoms, written as CIF:
```
data_TbDy6HoTm2
_chemical_formula_sum 'Tb4 Dy24 Ho4 Tm8'
_cell_length_a 8.999
_cell_length_b 14.901
_cell_length_c 9.467
_cell_angle_alpha 90.00
_cell_angle_beta 97.36
_cell_angle_gamma 90.00
_symmetry_space_group_name_H-M 'C 1 2/c 1'
_symmetry_Int_Tables_number 15
_symmetry_space_group_name_Hall '-C 2yc'
loop_
_atom_site_label
_atom_site_type_symbol
_atom_site_fract_x
_atom_site_fract_y
_atom_site_fract_z
Tb1 Tb 0.000 0.025 0.250
Dy1 Dy 0.063 0.185 0.944
Dy2 Dy 0.101 0.393 0.120
Dy3 Dy 0.207 0.225 0.316
Ho1 Ho 0.000 0.409 0.750
Tm1 Tm 0.250 0.052 0.545
```

## Properties
ΔE_f, eV per formula unit: 1.217


(5)
An optimized crystal structure of ZnBC. Source: Alexandria, functional PBE.

Cell and atoms, written as CIF:
```
data_ZnBC
_chemical_formula_sum 'Zn4 B4 C4'
_cell_length_a 11.808
_cell_length_b 2.854
_cell_length_c 4.976
_cell_angle_alpha 90.00
_cell_angle_beta 90.16
_cell_angle_gamma 90.00
_symmetry_space_group_name_H-M 'C 1 m 1'
_symmetry_Int_Tables_number 8
_symmetry_space_group_name_Hall 'C -2y'
loop_
_atom_site_label
_atom_site_type_symbol
_atom_site_fract_x
_atom_site_fract_y
_atom_site_fract_z
Zn1 Zn 0.000 0.000 0.000
Zn2 Zn 0.001 0.000 0.508
B1 B 0.159 0.000 0.255
B2 B 0.225 0.500 0.255
C1 C 0.293 0.000 0.255
C2 C 0.411 0.000 0.254
```

## Properties
ΔE_f, eV per formula unit: 2.578


(6)
An optimized crystal structure of AgSn2AuN. Source: Alexandria, functional PBE.

Cell and atoms, written as CIF:
```
data_AgSn2AuN
_chemical_formula_sum 'Ag1 Sn2 Au1 N1'
_cell_length_a 4.843
_cell_length_b 4.843
_cell_length_c 4.270
_cell_angle_alpha 90.00
_cell_angle_beta 90.00
_cell_angle_gamma 90.00
_symmetry_space_group_name_H-M 'P 4/m m m'
_symmetry_Int_Tables_number 123
_symmetry_space_group_name_Hall '-P 4 2'
loop_
_atom_site_label
_atom_site_type_symbol
_atom_site_fract_x
_atom_site_fract_y
_atom_site_fract_z
Ag1 Ag 0.000 0.000 0.000
Sn1 Sn 0.000 0.500 0.500
Au1 Au 0.500 0.500 0.000
N1 N 0.000 0.000 0.500
```

## Properties
ΔE_f (raw), meV per atom: 424


(7)
An optimized crystal structure of La3NdCu2. Source: Alexandria, functional PBE.

Cell and atoms, written as CIF:
```
data_La3NdCu2
_chemical_formula_sum 'La6 Nd2 Cu4'
_cell_length_a 5.087
_cell_length_b 9.167
_cell_length_c 7.224
_cell_angle_alpha 90.00
_cell_angle_beta 90.00
_cell_angle_gamma 90.00
_symmetry_space_group_name_H-M 'P m c 21'
_symmetry_Int_Tables_number 26
_symmetry_space_group_name_Hall 'P 2c -2'
loop_
_atom_site_label
_atom_site_type_symbol
_atom_site_fract_x
_atom_site_fract_y
_atom_site_fract_z
La1 La 0.000 0.079 0.000
La2 La 0.000 0.342 0.359
La3 La 0.500 0.159 0.646
Nd1 Nd 0.500 0.424 0.009
Cu1 Cu 0.000 0.348 0.768
Cu2 Cu 0.500 0.157 0.239
```

## Properties
ΔE_f, eV per formula unit: -0.632


(8)
An optimized crystal structure of MnReS2Cl. Source: Alexandria, functional PBE.

Cell and atoms, written as CIF:
```
data_MnReS2Cl
_chemical_formula_sum 'Mn1 Re1 S2 Cl1'
_cell_length_a 4.204
_cell_length_b 4.204
_cell_length_c 5.436
_cell_angle_alpha 90.00
_cell_angle_beta 90.00
_cell_angle_gamma 90.00
_symmetry_space_group_name_H-M 'P 4/m m m'
_symmetry_Int_Tables_number 123
_symmetry_space_group_name_Hall '-P 4 2'
loop_
_atom_site_label
_atom_site_type_symbol
_atom_site_fract_x
_atom_site_fract_y
_atom_site_fract_z
Mn1 Mn 0.000 0.000 0.000
Re1 Re 0.000 0.000 0.500
S1 S 0.000 0.500 0.000
Cl1 Cl 0.500 0.500 0.500
```

## Properties
Offset from the most stable computed form, meV per atom: 498.3
ΔE_f (raw), meV per atom: 889